# CrCdMo | the Alexandria database | PBE | optimized geometry
data_CrCdMo
_chemical_formula_sum 'Cr2 Cd2 Mo2'
_cell_length_a 2.6457
_cell_length_b 4.2953
_cell_length_c 8.3121
_cell_angle_alpha 90.00
_cell_angle_beta 90.00
_cell_angle_gamma 90.00
_space_group_name_H-M_alt 'I m m 2'
_space_group_IT_number 44
loop_
_space_group_symop_operation_xyz
'x,y,z'
'-x,-y,z'
'-x,y,z'
'x,-y,z'
'x+1/2,y+1/2,z+1/2'
'-x+1/2,-y+1/2,z+1/2'
'-x+1/2,y+1/2,z+1/2'
'x+1/2,-y+1/2,z+1/2'
loop_
_atom_site_label
_atom_site_type_symbol
_atom_site_fract_x
_atom_site_fract_y
_atom_site_fract_z
Cr1 Cr 0.0000 0.0000 0.0000
Cd1 Cd 0.0000 0.0000 0.3352
Mo1 Mo 0.0000 0.0000 0.6673
# **Magnetization**: 0.001 Bohr magnetons per cell
# **Distance to the lowest polymorph of the same formula**: 0.55 eV/f.u.

=====

# Pm2ErCuSe5 | the Alexandria database | PBE | optimized geometry
data_Pm2ErCuSe5
_chemical_formula_sum 'Pm8 Er4 Cu4 Se20'
_cell_length_a 4.0473
_cell_length_b 17.5947
_cell_length_c 12.1094
_cell_angle_alpha 90.00
_cell_angle_beta 90.00
_cell_angle_gamma 90.00
_space_group_name_H-M_alt 'C m c 21'
_space_group_IT_number 36
loop_
_space_group_symop_operation_xyz
'x,y,z'
'-x,-y,z+1/2'
'-x,y,z'
'x,-y,z+1/2'
'x+1/2,y+1/2,z'
'-x+1/2,-y+1/2,z+1/2'
'-x+1/2,y+1/2,z'
'x+1/2,-y+1/2,z+1/2'
loop_
_atom_site_label
_atom_site_type_symbol
_atom_site_fract_x
_atom_site_fract_y
_atom_site_fract_z
Pm1 Pm 0.0000 0.1088 0.0000
Pm2 Pm 0.0000 0.1227 0.6226
Er1 Er 0.0000 0.1934 0.3243
Cu1 Cu 0.0000 0.4354 0.7690
Se1 Se 0.0000 0.0429 0.3765
Se2 Se 0.0000 0.2876 0.9868
Se3 Se 0.0000 0.3120 0.6600
Se4 Se 0.0000 0.3563 0.3147
Se5 Se 0.0000 0.4991 0.0943
# **Magnetization**: 0.000 Bohr magnetons per cell
# **Formation energy (no corrections)**: -1.587 eV/atom

=====

# K2ZrW | the Alexandria database | PBE | optimized geometry
data_K2ZrW
_chemical_formula_sum 'K2 Zr1 W1'
_cell_length_a 2.8472
_cell_length_b 5.7587
_cell_length_c 6.4988
_cell_angle_alpha 90.00
_cell_angle_beta 90.00
_cell_angle_gamma 90.00
_space_group_name_H-M_alt 'P m m m'
_space_group_IT_number 47
loop_
_space_group_symop_operation_xyz
'x,y,z'
'-x,-y,-z'
'-x,-y,z'
'x,y,-z'
'x,-y,-z'
'-x,y,z'
'-x,y,-z'
'x,-y,z'
loop_
_atom_site_label
_atom_site_type_symbol
_atom_site_fract_x
_atom_site_fract_y
_atom_site_fract_z
K1 K 0.0000 0.2442 0.0000
Zr1 Zr 0.5000 0.5000 0.5000
W1 W 0.5000 0.0000 0.5000
# **Magnetization**: 0.492 Bohr magnetons per cell
# **Distance to the lowest polymorph of the same formula**: 2.44 eV/f.u.

=====

- Which of these has the lowest magnetization?
  Pm2ErCuSe5

=====

Copy entry 2 word for word.
# Pm2ErCuSe5 | the Alexandria database | PBE | optimized geometry
data_Pm2ErCuSe5
_chemical_formula_sum 'Pm8 Er4 Cu4 Se20'
_cell_length_a 4.0473
_cell_length_b 17.5947
_cell_length_c 12.1094
_cell_angle_alpha 90.00
_cell_angle_beta 90.00
_cell_angle_gamma 90.00
_space_group_name_H-M_alt 'C m c 21'
_space_group_IT_number 36
loop_
_space_group_symop_operation_xyz
'x,y,z'
'-x,-y,z+1/2'
'-x,y,z'
'x,-y,z+1/2'
'x+1/2,y+1/2,z'
'-x+1/2,-y+1/2,z+1/2'
'-x+1/2,y+1/2,z'
'x+1/2,-y+1/2,z+1/2'
loop_
_atom_site_label
_atom_site_type_symbol
_atom_site_fract_x
_atom_site_fract_y
_atom_site_fract_z
Pm1 Pm 0.0000 0.1088 0.0000
Pm2 Pm 0.0000 0.1227 0.6226
Er1 Er 0.0000 0.1934 0.3243
Cu1 Cu 0.0000 0.4354 0.7690
Se1 Se 0.0000 0.0429 0.3765
Se2 Se 0.0000 0.2876 0.9868
Se3 Se 0.0000 0.3120 0.6600
Se4 Se 0.0000 0.3563 0.3147
Se5 Se 0.0000 0.4991 0.0943
# **Magnetization**: 0.000 Bohr magnetons per cell
# **Formation energy (no corrections)**: -1.587 eV/atom